1.
An optimized crystal structure of La5TlAg4, computed with GGA-PBE.

Structure (CIF):
```
data_La5TlAg4
_chemical_formula_sum 'La5 Tl1 Ag4'
_cell_length_a 3.820
_cell_length_b 3.820
_cell_length_c 19.657
_cell_angle_alpha 90.00
_cell_angle_beta 90.00
_cell_angle_gamma 90.00
_space_group_name_H-M_alt 'P 4/m m m'
_space_group_IT_number 123
_space_group_name_Hall '-P 4 2'
loop_
_atom_site_label
_atom_site_fract_x
_atom_site_fract_y
_atom_site_fract_z
_atom_site_occupancy
La1 0.000 0.000 0.000 1
La2 0.000 0.000 0.196 1
La3 0.000 0.000 0.391 1
Tl1 0.500 0.500 0.500 1
Ag1 0.500 0.500 0.097 1
Ag2 0.500 0.500 0.292 1
```

Results
Raw total energy: -0.3037 Ry per atom
Energy of formation from the pure elements: -0.291 eV per atom

2.
An optimized crystal structure of La3Tl2Ag2, computed with GGA-PBE.

Structure (CIF):
```
data_La3Tl2Ag2
_chemical_formula_sum 'La6 Tl4 Ag4'
_cell_length_a 4.744
_cell_length_b 23.083
_cell_length_c 3.619
_cell_angle_alpha 90.00
_cell_angle_beta 90.00
_cell_angle_gamma 90.00
_space_group_name_H-M_alt 'C m m m'
_space_group_IT_number 65
_space_group_name_Hall '-C 2 2'
loop_
_atom_site_label
_atom_site_fract_x
_atom_site_fract_y
_atom_site_fract_z
_atom_site_occupancy
La1 0.000 0.000 0.000 1
La2 0.000 0.161 0.000 1
Tl1 0.000 0.420 0.500 1
Ag1 0.000 0.283 0.500 1
```

Results
Raw total energy: -0.2911 Ry per atom
Energy of formation from the pure elements: -0.358 eV per atom

3.
An optimized crystal structure of LaTl3Ag3, computed with GGA-PBE.

Structure (CIF):
```
data_LaTl3Ag3
_chemical_formula_sum 'La2 Tl6 Ag6'
_cell_length_a 7.671
_cell_length_b 7.671
_cell_length_c 7.671
_cell_angle_alpha 90.00
_cell_angle_beta 90.00
_cell_angle_gamma 90.00
_space_group_name_H-M_alt 'P m -3 n'
_space_group_IT_number 223
_space_group_name_Hall '-P 4n 2 3'
loop_
_atom_site_label
_atom_site_fract_x
_atom_site_fract_y
_atom_site_fract_z
_atom_site_occupancy
La1 0.000 0.000 0.000 1
Tl1 0.000 0.250 0.500 1
Ag1 0.000 0.500 0.250 1
```

Results
Raw total energy: -0.1875 Ry per atom
Energy of formation from the pure elements: 0.389 eV per atom